[1]
TbSi2Os4 | PBE-GGA | relaxed

POSCAR file:
```
TbSi2Os4
1.0
-0.445 -1.317 -3.720
-3.346 -1.887 1.069
-2.077 6.695 -2.121
Os Si Tb
4 2 1
Direct
0.000 0.311 0.622
0.500 0.186 0.373
0.000 0.689 0.378
0.500 0.814 0.627
0.500 0.584 0.168
0.500 0.416 0.832
0.000 0.000 0.000
```

Computed properties:
Density of states at the Fermi level ... 0.5286 states/eV/atom
Formation energy without anion corrections ... -501 meV/atom
Space group ... Cmmm, No. 65
Uncorrected energy ... -9.13 eV/atom

=====

[2]
Tb3Si3Os | PBE-GGA | relaxed

POSCAR file:
```
Tb3Si3Os
1.0
-0.686 -1.404 -3.940
4.823 -1.978 -2.414
-2.403 -12.399 2.557
Si Tb Os
6 6 2
Direct
0.111 0.852 0.926
0.137 0.268 0.458
0.863 0.732 0.542
0.054 0.132 0.761
0.889 0.148 0.074
0.946 0.868 0.239
0.398 0.284 0.920
0.518 0.338 0.626
0.602 0.716 0.080
0.745 0.739 0.771
0.255 0.261 0.229
0.482 0.662 0.374
0.753 0.081 0.413
0.247 0.919 0.587
```

Computed properties:
Density of states at the Fermi level ... 0.6286 states/eV/atom
Formation energy without anion corrections ... -797 meV/atom
Space group ... C2/m, No. 12
Uncorrected energy ... -6.71 eV/atom

=====

[3]
TbSi2TcOs | PBE-GGA | relaxed

POSCAR file:
```
TbSi2TcOs
1.0
-2.437 -0.863 -3.269
3.374 -0.881 -2.282
-0.727 -3.827 4.208
Si Tb Os Tc
2 1 1 1
Direct
0.626 0.626 0.253
0.374 0.374 0.747
0.000 0.000 0.000
0.250 0.750 0.500
0.750 0.250 0.500
```

Computed properties:
Density of states at the Fermi level ... 0.9152 states/eV/atom
Formation energy without anion corrections ... -675 meV/atom
Space group ... I-4m2, No. 119
Uncorrected energy ... -8.09 eV/atom

=====

[4]
TbSi3TcOs | PBE-GGA | relaxed

POSCAR file:
```
TbSi3TcOs
1.0
-0.705 -5.406 0.647
4.618 -1.327 -6.046
2.034 0.498 6.377
Si Tc Tb Os
6 2 2 2
Direct
0.500 0.749 0.000
0.750 0.752 0.504
0.500 0.251 0.000
0.000 0.749 0.000
0.000 0.251 0.000
0.250 0.248 0.496
0.250 0.449 0.898
0.750 0.551 0.102
0.250 0.758 0.516
0.750 0.242 0.484
0.250 0.045 0.091
0.750 0.955 0.909
```

Computed properties:
Density of states at the Fermi level ... 0.3184 states/eV/atom
Formation energy without anion corrections ... -317 meV/atom
Space group ... Cmcm, No. 63
Uncorrected energy ... -7.40 eV/atom

=====

[5]
SiTc2Os | PBE-GGA | relaxed

POSCAR file:
```
SiTc2Os
1.0
4.043 0.000 0.000
2.022 3.502 0.000
2.022 1.167 4.392
Tc Os Si
2 1 1
Direct
0.077 0.077 0.768
0.268 0.268 0.197
0.484 0.484 0.548
0.671 0.671 0.987
```

Computed properties:
Density of states at the Fermi level ... 0.9807 states/eV/atom
Formation energy without anion corrections ... 81 meV/atom
Space group ... R3m, No. 160
Uncorrected energy ... -9.27 eV/atom

=====

[6]
SiTcOs3 | PBE-GGA | relaxed

POSCAR file:
```
SiTcOs3
1.0
-3.281 3.252 0.614
-1.285 -0.455 -4.456
-3.050 -3.306 1.217
Os Si Tc
3 1 1
Direct
0.000 0.000 0.500
0.000 0.500 0.000
0.500 0.000 0.000
0.500 0.500 0.500
0.000 0.000 0.000
```

Computed properties:
Relative energy among the computed polymorphs ... 1.029 eV/atom
Density of states at the Fermi level ... 1.3890 states/eV/atom
Formation energy without anion corrections ... 2344 meV/atom
Space group ... Pm-3m, No. 221
Uncorrected energy ... -7.55 eV/atom

=====

[7]
SiTc4Os2 | PBE-GGA | relaxed

POSCAR file:
```
SiTc4Os2
1.0
4.307 0.000 0.000
0.000 4.307 0.000
2.154 2.154 6.356
Tc Os Si
4 2 1
Direct
0.816 0.816 0.367
0.184 0.184 0.633
0.000 0.500 0.000
0.500 0.000 0.000
0.635 0.635 0.730
0.365 0.365 0.270
0.000 0.000 0.000
```

Computed properties:
Density of states at the Fermi level ... 1.0631 states/eV/atom
Formation energy without anion corrections ... 1103 meV/atom
Space group ... I4/mmm, No. 139
Uncorrected energy ... -8.80 eV/atom

=====

[8]
SiTc2Os | PBE-GGA | relaxed

POSCAR file:
```
SiTc2Os
1.0
8.541 -0.003 -0.002
8.090 2.739 -0.002
8.090 1.331 2.394
Tc Os Si
2 1 1
Direct
0.251 0.251 0.251
0.003 0.003 0.003
0.495 0.495 0.495
0.750 0.750 0.750
```

Computed properties:
Density of states at the Fermi level ... 0.9539 states/eV/atom
Formation energy without anion corrections ... -64 meV/atom
Space group ... R3m, No. 160
Uncorrected energy ... -9.41 eV/atom

=====

[9]
SiTc2Os | PBE-GGA | relaxed

POSCAR file:
```
SiTc2Os
1.0
-0.834 -2.601 0.283
2.087 0.411 -1.738
5.464 -1.065 6.308
Os Tc Si
1 2 1
Direct
0.000 0.000 0.521
0.000 0.000 0.984
0.500 0.500 0.246
0.500 0.500 0.749
```

Computed properties:
Density of states at the Fermi level ... 1.1372 states/eV/atom
Formation energy without anion corrections ... 219 meV/atom
Space group ... Cmm2, No. 35
Uncorrected energy ... -9.13 eV/atom

=====

[10]
SiTc2Os | PBE-GGA | relaxed

POSCAR file:
```
SiTc2Os
1.0
2.898 0.000 0.000
0.000 2.898 0.000
0.000 0.000 6.539
Tc Si Os
2 1 1
Direct
0.500 0.500 0.248
0.000 0.000 0.977
0.500 0.500 0.749
0.000 0.000 0.526
```

Computed properties:
Density of states at the Fermi level ... 0.7680 states/eV/atom
Formation energy without anion corrections ... -196 meV/atom
Space group ... P4mm, No. 99
Uncorrected energy ... -9.54 eV/atom

=====

[11]
SiTc2Os | PBE-GGA | relaxed

POSCAR file:
```
SiTc2Os
1.0
5.578 0.000 0.000
0.000 5.578 0.000
2.789 2.789 5.330
Tc Si Os
4 2 2
Direct
0.375 0.377 0.750
0.875 0.873 0.750
0.127 0.625 0.250
0.623 0.125 0.250
0.250 0.750 0.500
0.500 0.500 0.000
0.000 0.000 0.000
0.750 0.250 0.500
```

Computed properties:
Density of states at the Fermi level ... 0.7042 states/eV/atom
Formation energy without anion corrections ... 966 meV/atom
Space group ... I-42d, No. 122
Uncorrected energy ... -8.38 eV/atom

=====

[12]
SiTc2Os | PBE-GGA | relaxed

POSCAR file:
```
SiTc2Os
1.0
2.881 0.000 0.000
0.000 2.881 0.000
0.000 0.000 6.616
Tc Os Si
2 1 1
Direct
0.000 0.000 0.978
0.000 0.000 0.522
0.500 0.500 0.250
0.500 0.500 0.750
```

Computed properties:
Density of states at the Fermi level ... 0.6994 states/eV/atom
Formation energy without anion corrections ... -210 meV/atom
Space group ... P4/mmm, No. 123
Uncorrected energy ... -9.56 eV/atom